(1)
Crystalline CuAg at its relaxed geometry. Source: OQMD, functional PBE.

Lattice parameters (Å, degrees): 2.827 2.827 7.446 90.04 90.04 90.01
Element x y z (fractional)
Cu 0.000 0.000 0.000
Cu 0.501 0.501 0.202
Ag 0.002 0.002 0.452
Ag 0.501 0.501 0.748

Summary:
* mass density: 9.56 g/cm3
* DFT total energy: -3.207 eV per atom

=====

(2)
Crystalline Cu3Ag2 at its relaxed geometry. Source: OQMD, functional PBE.

Lattice parameters (Å, degrees): 9.650 9.650 3.889 90.00 90.00 156.74
Element x y z (fractional)
Cu 0.042 0.958 0.750
Cu 0.136 0.864 0.250
Cu 0.457 0.543 0.750
Cu 0.543 0.457 0.250
Cu 0.864 0.136 0.750
Cu 0.958 0.042 0.250
Ag 0.250 0.750 0.750
Ag 0.361 0.639 0.250
Ag 0.639 0.361 0.750
Ag 0.750 0.250 0.250

Summary:
* mass density: 9.44 g/cm3
* ΔE to the lowest computed polymorph: 33 meV/atom

=====

(3)
Crystalline CuAg at its relaxed geometry. Source: OQMD, functional PBE.

Lattice parameters (Å, degrees): 9.699 9.699 3.965 90.00 90.00 156.41
Element x y z (fractional)
Cu 0.000 0.000 0.000
Cu 0.092 0.908 0.500
Cu 0.408 0.592 0.000
Cu 0.592 0.408 0.000
Cu 0.908 0.092 0.500
Ag 0.192 0.808 0.000
Ag 0.308 0.692 0.500
Ag 0.500 0.500 0.500
Ag 0.692 0.308 0.500
Ag 0.808 0.192 0.000

Summary:
* mass density: 9.53 g/cm3
* DFT total energy: -3.188 eV per atom

=====

(4)
Crystalline CuAg at its relaxed geometry. Source: OQMD, functional PBE.

Lattice parameters (Å, degrees): 2.887 2.890 21.369 89.99 89.93 89.89
Element x y z (fractional)
Cu 0.000 0.000 0.000
Cu 0.004 0.999 0.865
Cu 0.492 0.493 0.202
Cu 0.497 0.499 0.067
Cu 0.502 0.500 0.933
Cu 0.994 0.997 0.135
Ag 0.008 0.993 0.680
Ag 0.493 0.492 0.385
Ag 0.500 0.500 0.582
Ag 0.511 0.491 0.780
Ag 0.989 0.993 0.286
Ag 0.999 0.000 0.484

Summary:
* mass density: 9.58 g/cm3
* DFT total energy: -3.237 eV per atom

=====

(5)
Crystalline CuAg at its relaxed geometry. Source: OQMD, functional PBE.

Lattice parameters (Å, degrees): 2.805 2.805 17.705 90.00 90.00 120.00
Element x y z (fractional)
Cu 0.000 0.000 0.000
Cu 0.000 0.000 0.329
Cu 0.333 0.667 0.109
Cu 0.667 0.333 0.219
Ag 0.000 0.000 0.595
Ag 0.333 0.667 0.735
Ag 0.667 0.333 0.454
Ag 0.667 0.333 0.875

Summary:
* mass density: 9.44 g/cm3
* DFT total energy: -3.181 eV per atom

=====

(6)
Crystalline Cu2Ag7 at its relaxed geometry. Source: OQMD, functional PBE.

Lattice parameters (Å, degrees): 4.982 4.982 8.570 106.76 106.76 48.20
Element x y z (fractional)
Cu 0.167 0.167 0.222
Cu 0.833 0.833 0.778
Ag 0.167 0.167 0.889
Ag 0.170 0.170 0.557
Ag 0.500 0.500 0.000
Ag 0.500 0.500 0.329
Ag 0.500 0.500 0.671
Ag 0.830 0.830 0.443
Ag 0.833 0.833 0.111

Summary:
* mass density: 9.74 g/cm3
* ΔE to the lowest computed polymorph: 39 meV/atom

=====

(7)
Crystalline Cu3Ag7 at its relaxed geometry. Source: OQMD, functional PBE.

Lattice parameters (Å, degrees): 7.600 7.600 7.743 104.68 104.68 21.89
Element x y z (fractional)
Cu 0.000 0.000 0.000
Cu 0.207 0.207 0.094
Cu 0.793 0.793 0.906
Ag 0.000 0.000 0.500
Ag 0.200 0.200 0.608
Ag 0.398 0.398 0.723
Ag 0.399 0.399 0.176
Ag 0.601 0.601 0.824
Ag 0.602 0.602 0.277
Ag 0.800 0.800 0.392

Summary:
* mass density: 9.75 g/cm3
* ΔE to the lowest computed polymorph: 31 meV/atom

=====

(8)
Crystalline Cu3Ag2 at its relaxed geometry. Source: OQMD, functional PBE.

Lattice parameters (Å, degrees): 9.578 9.578 9.578 163.49 163.49 23.44
Element x y z (fractional)
Cu 0.000 0.000 0.000
Cu 0.207 0.207 0.000
Cu 0.793 0.793 0.000
Ag 0.397 0.397 0.000
Ag 0.603 0.603 0.000

Summary:
* mass density: 9.51 g/cm3
* ΔE to the lowest computed polymorph: 49 meV/atom